Material: Sm2Dy5Mg
Method: DFT, PBE
State: optimized geometry

```
data_Sm2Dy5Mg
_chemical_formula_sum 'Sm2 Dy5 Mg1'
_symmetry_space_group_name_H-M 'P 1'
_symmetry_Int_Tables_number 1
_cell_length_a 7.059
_cell_length_b 7.059
_cell_length_c 7.059
_cell_angle_alpha 120.32
_cell_angle_beta 120.32
_cell_angle_gamma 89.44
loop_
_symmetry_equiv_pos_as_xyz
'x,y,z'
loop_
_atom_site_label
_atom_site_type_symbol
_atom_site_fract_x
_atom_site_fract_y
_atom_site_fract_z
Sm1 Sm 0.000 0.500 0.500
Sm2 Sm 0.500 0.000 0.500
Dy1 Dy 0.000 0.000 0.000
Dy2 Dy 0.000 0.000 0.500
Dy3 Dy 0.000 0.500 0.000
Dy4 Dy 0.500 0.000 0.000
Dy5 Dy 0.500 0.500 0.500
Mg1 Mg 0.500 0.500 0.000
```

Values from the calculation:
ρ: 7.63 g/cm3
space group: No. 139
V: 30.93 A^3/atom

---

Material: SmDy4Mg2
Method: DFT, PBE
State: optimized geometry

```
data_SmDy4Mg2
_chemical_formula_sum 'Sm1 Dy4 Mg2'
_symmetry_space_group_name_H-M 'P 1'
_symmetry_Int_Tables_number 1
_cell_length_a 10.629
_cell_length_b 10.629
_cell_length_c 10.629
_cell_angle_alpha 28.49
_cell_angle_beta 28.49
_cell_angle_gamma 28.49
loop_
_symmetry_equiv_pos_as_xyz
'x,y,z'
loop_
_atom_site_label
_atom_site_type_symbol
_atom_site_fract_x
_atom_site_fract_y
_atom_site_fract_z
Sm1 Sm 0.000 0.000 0.000
Dy1 Dy 0.205 0.205 0.205
Dy2 Dy 0.394 0.394 0.394
Dy3 Dy 0.606 0.606 0.606
Dy4 Dy 0.795 0.795 0.795
Mg1 Mg 0.101 0.101 0.101
Mg2 Mg 0.899 0.899 0.899
```

Values from the calculation:
ρ: 5.84 g/cm3
space group: No. 166
V: 34.49 A^3/atom

---

Material: SmDyMg14
Method: DFT, PBE
State: optimized geometry

```
data_SmDyMg14
_chemical_formula_sum 'Sm1 Dy1 Mg14'
_symmetry_space_group_name_H-M 'P 1'
_symmetry_Int_Tables_number 1
_cell_length_a 6.937
_cell_length_b 6.937
_cell_length_c 8.021
_cell_angle_alpha 90.00
_cell_angle_beta 90.00
_cell_angle_gamma 90.00
loop_
_symmetry_equiv_pos_as_xyz
'x,y,z'
loop_
_atom_site_label
_atom_site_type_symbol
_atom_site_fract_x
_atom_site_fract_y
_atom_site_fract_z
Sm1 Sm 0.000 0.000 0.000
Dy1 Dy 0.500 0.500 0.000
Mg1 Mg 0.000 0.000 0.500
Mg2 Mg 0.000 0.500 0.000
Mg3 Mg 0.000 0.500 0.500
Mg4 Mg 0.251 0.251 0.262
Mg5 Mg 0.251 0.251 0.738
Mg6 Mg 0.251 0.749 0.262
Mg7 Mg 0.251 0.749 0.738
Mg8 Mg 0.500 0.000 0.000
Mg9 Mg 0.500 0.000 0.500
Mg10 Mg 0.500 0.500 0.500
Mg11 Mg 0.749 0.251 0.262
Mg12 Mg 0.749 0.251 0.738
Mg13 Mg 0.749 0.749 0.262
Mg14 Mg 0.749 0.749 0.738
```

Values from the calculation:
ρ: 2.81 g/cm3
space group: No. 123
V: 24.12 A^3/atom

---

Material: Sm2DyMg4
Method: DFT, PBE
State: optimized geometry

```
data_Sm2DyMg4
_chemical_formula_sum 'Sm2 Dy1 Mg4'
_symmetry_space_group_name_H-M 'P 1'
_symmetry_Int_Tables_number 1
_cell_length_a 8.239
_cell_length_b 8.239
_cell_length_c 8.239
_cell_angle_alpha 141.60
_cell_angle_beta 141.60
_cell_angle_gamma 55.43
loop_
_symmetry_equiv_pos_as_xyz
'x,y,z'
loop_
_atom_site_label
_atom_site_type_symbol
_atom_site_fract_x
_atom_site_fract_y
_atom_site_fract_z
Sm1 Sm 0.248 0.248 0.000
Sm2 Sm 0.752 0.752 0.000
Dy1 Dy 0.500 0.500 0.000
Mg1 Mg 0.114 0.614 0.500
Mg2 Mg 0.386 0.886 0.500
Mg3 Mg 0.614 0.114 0.500
Mg4 Mg 0.886 0.386 0.500
```

Values from the calculation:
ρ: 4.34 g/cm3
space group: No. 139
V: 30.60 A^3/atom

---

Material: Sm4Dy4Mg
Method: DFT, PBE
State: optimized geometry

```
data_Sm4Dy4Mg
_chemical_formula_sum 'Sm4 Dy4 Mg1'
_symmetry_space_group_name_H-M 'P 1'
_symmetry_Int_Tables_number 1
_cell_length_a 7.925
_cell_length_b 7.925
_cell_length_c 7.925
_cell_angle_alpha 95.80
_cell_angle_beta 95.80
_cell_angle_gamma 142.91
loop_
_symmetry_equiv_pos_as_xyz
'x,y,z'
loop_
_atom_site_label
_atom_site_type_symbol
_atom_site_fract_x
_atom_site_fract_y
_atom_site_fract_z
Sm1 Sm 0.166 0.166 0.332
Sm2 Sm 0.166 0.834 0.000
Sm3 Sm 0.834 0.166 0.000
Sm4 Sm 0.834 0.834 0.668
Dy1 Dy 0.166 0.500 0.666
Dy2 Dy 0.500 0.166 0.666
Dy3 Dy 0.500 0.834 0.334
Dy4 Dy 0.834 0.500 0.334
Mg1 Mg 0.500 0.500 0.000
```

Values from the calculation:
ρ: 7.44 g/cm3
space group: No. 139
V: 31.62 A^3/atom

---

Material: Sm3Dy2Mg
Method: DFT, PBE
State: optimized geometry

```
data_Sm3Dy2Mg
_chemical_formula_sum 'Sm3 Dy2 Mg1'
_symmetry_space_group_name_H-M 'P 1'
_symmetry_Int_Tables_number 1
_cell_length_a 3.608
_cell_length_b 3.608
_cell_length_c 14.433
_cell_angle_alpha 90.00
_cell_angle_beta 90.00
_cell_angle_gamma 90.00
loop_
_symmetry_equiv_pos_as_xyz
'x,y,z'
loop_
_atom_site_label
_atom_site_type_symbol
_atom_site_fract_x
_atom_site_fract_y
_atom_site_fract_z
Sm1 Sm 0.000 0.000 0.000
Sm2 Sm 0.000 0.000 0.347
Sm3 Sm 0.000 0.000 0.653
Dy1 Dy 0.500 0.500 0.175
Dy2 Dy 0.500 0.500 0.825
Mg1 Mg 0.500 0.500 0.500
```

Values from the calculation:
ρ: 7.07 g/cm3
space group: No. 123
V: 31.32 A^3/atom

---

Material: Sm2DyMg
Method: DFT, PBE
State: optimized geometry

```
data_Sm2DyMg
_chemical_formula_sum 'Sm2 Dy1 Mg1'
_symmetry_space_group_name_H-M 'P 1'
_symmetry_Int_Tables_number 1
_cell_length_a 11.624
_cell_length_b 11.624
_cell_length_c 11.624
_cell_angle_alpha 17.53
_cell_angle_beta 17.53
_cell_angle_gamma 17.53
loop_
_symmetry_equiv_pos_as_xyz
'x,y,z'
loop_
_atom_site_label
_atom_site_type_symbol
_atom_site_fract_x
_atom_site_fract_y
_atom_site_fract_z
Sm1 Sm 0.000 0.000 0.000
Sm2 Sm 0.164 0.164 0.164
Dy1 Dy 0.582 0.582 0.582
Mg1 Mg 0.749 0.749 0.749
```

Values from the calculation:
ρ: 6.51 g/cm3
space group: No. 160
V: 31.11 A^3/atom

---

Material: Sm5DyMg3
Method: DFT, PBE
State: optimized geometry

```
data_Sm5DyMg3
_chemical_formula_sum 'Sm10 Dy2 Mg6'
_symmetry_space_group_name_H-M 'P 1'
_symmetry_Int_Tables_number 1
_cell_length_a 7.938
_cell_length_b 7.938
_cell_length_c 10.823
_cell_angle_alpha 96.46
_cell_angle_beta 96.46
_cell_angle_gamma 61.96
loop_
_symmetry_equiv_pos_as_xyz
'x,y,z'
loop_
_atom_site_label
_atom_site_type_symbol
_atom_site_fract_x
_atom_site_fract_y
_atom_site_fract_z
Sm1 Sm 0.011 0.011 0.640
Sm2 Sm 0.144 0.556 0.273
Sm3 Sm 0.170 0.830 0.000
Sm4 Sm 0.258 0.258 0.969
Sm5 Sm 0.444 0.856 0.727
Sm6 Sm 0.556 0.144 0.273
Sm7 Sm 0.742 0.742 0.031
Sm8 Sm 0.830 0.170 0.000
Sm9 Sm 0.856 0.444 0.727
Sm10 Sm 0.989 0.989 0.360
Dy1 Dy 0.396 0.396 0.734
Dy2 Dy 0.604 0.604 0.266
Mg1 Mg 0.158 0.158 0.209
Mg2 Mg 0.221 0.221 0.496
Mg3 Mg 0.500 0.500 0.000
Mg4 Mg 0.500 0.500 0.500
Mg5 Mg 0.779 0.779 0.504
Mg6 Mg 0.842 0.842 0.791
```

Values from the calculation:
ρ: 5.49 g/cm3
space group: No. 12
V: 33.15 A^3/atom

---

Computed DOS at the Fermi energy (states/eV/atom) in order:
0.935 2.010 0.398 0.880 1.386 1.230 1.215 1.409
Computed electronic total energy (eV per atom) in order:
-4.241 -3.260 -2.015 -2.792 -4.301 -4.177 -3.870 -3.282